[1]
The following is a GGA-PBE calculation of an optimized crystal structure of Be2H6W, from the Alexandria database.

Calculated values
Calculated volume   6.84 Å³/atom
Final energy   -35.73 eV per cell

Lattice parameters (Å, degrees): 4.433 4.433 4.433 60.00 60.00 60.00
Fractional positions:
H (0.720, 0.280, 0.280)
H (0.280, 0.720, 0.720)
H (0.280, 0.280, 0.720)
H (0.280, 0.720, 0.280)
W (0.000, 0.000, 0.000)
H (0.720, 0.280, 0.720)
Be (0.250, 0.250, 0.250)
H (0.720, 0.720, 0.280)
Be (0.750, 0.750, 0.750)

---

[2]
The following is a GGA-PBE calculation of an optimized crystal structure of BeH3W, from the Alexandria database.

Calculated values
Polymorph energy (0 for the lowest one)   0.192 eV per formula unit
Calculated volume   7.98 Å³/atom

Lattice parameters (Å, degrees): 3.417 3.417 3.417 90.00 90.00 90.00
Fractional positions:
H (0.500, 0.000, 0.000)
H (0.000, 0.000, 0.500)
W (0.000, 0.000, 0.000)
H (0.000, 0.500, 0.000)
Be (0.500, 0.500, 0.500)

---

[3]
The following is a GGA-PBE calculation of an optimized crystal structure of Be2HW, from the Alexandria database.

Calculated values
Polymorph energy (0 for the lowest one)   0.000 eV per formula unit
Calculated volume   8.60 Å³/atom

Lattice parameters (Å, degrees): 4.597 4.597 4.600 60.02 60.02 90.00
Fractional positions:
W (0.750, 0.250, 0.500)
W (0.000, 0.000, 0.000)
H (0.250, 0.750, 0.500)
Be (0.875, 0.625, 0.750)
Be (0.375, 0.625, 0.750)
H (0.500, 0.500, 0.000)
Be (0.375, 0.125, 0.250)
Be (0.375, 0.625, 0.250)

---

[4]
The following is a GGA-PBE calculation of an optimized crystal structure of BeH2W, from the Alexandria database.

Calculated values
Polymorph energy (0 for the lowest one)   1.084 eV per formula unit
Calculated volume   7.19 Å³/atom

Lattice parameters (Å, degrees): 3.439 3.439 3.439 60.00 60.00 60.00
Fractional positions:
H (0.750, 0.750, 0.750)
W (0.500, 0.500, 0.500)
H (0.250, 0.250, 0.250)
Be (0.000, 0.000, 0.000)

---

[5]
The following is a GGA-PBE calculation of an optimized crystal structure of BeH3W, from the Alexandria database.

Calculated values
Polymorph energy (0 for the lowest one)   0.000 eV per formula unit
Calculated volume   6.11 Å³/atom

Lattice parameters (Å, degrees): 3.127 3.127 3.127 90.00 90.00 90.00
Fractional positions:
H (0.000, 0.000, 0.500)
H (0.000, 0.500, 0.000)
W (0.500, 0.500, 0.500)
Be (0.000, 0.000, 0.000)
H (0.500, 0.000, 0.000)

---

[6]
The following is a GGA-PBE calculation of an optimized crystal structure of BeH2W, from the Alexandria database.

Calculated values
Polymorph energy (0 for the lowest one)   0.000 eV per formula unit
Calculated volume   7.93 Å³/atom

Lattice parameters (Å, degrees): 4.022 4.022 4.846 65.48 65.48 90.00
Fractional positions:
H (0.875, 0.826, 0.750)
H (0.576, 0.125, 0.250)
W (0.750, 0.250, 0.500)
Be (0.250, 0.750, 0.500)
Be (0.500, 0.500, 0.000)
H (0.375, 0.424, 0.750)
H (0.174, 0.625, 0.250)
W (0.000, 0.000, 0.000)

---

[7]
The following is a GGA-PBE calculation of an optimized crystal structure of Be16HW2, from the Alexandria database.

Calculated values
Calculated volume   8.52 Å³/atom
Final energy   -88.84 eV per cell

Lattice parameters (Å, degrees): 5.485 5.485 5.485 83.37 83.37 83.37
Fractional positions:
H (0.961, 0.961, 0.961)
Be (0.160, 0.646, 0.646)
Be (0.994, 0.500, 0.994)
W (0.339, 0.339, 0.339)
Be (0.691, 0.304, 0.996)
Be (0.691, 0.996, 0.304)
Be (0.097, 0.097, 0.097)
Be (0.304, 0.691, 0.996)
Be (0.646, 0.160, 0.646)
Be (0.994, 0.994, 0.500)
Be (0.996, 0.304, 0.691)
Be (0.646, 0.646, 0.160)
Be (0.996, 0.691, 0.304)
Be (0.304, 0.996, 0.691)
Be (0.344, 0.834, 0.344)
W (0.655, 0.655, 0.655)
Be (0.500, 0.994, 0.994)
Be (0.344, 0.344, 0.834)
Be (0.834, 0.344, 0.344)

---

[8]
The following is a GGA-PBE calculation of an optimized crystal structure of BeHW3, from the Alexandria database.

Calculated values
Polymorph energy (0 for the lowest one)   0.000 eV per formula unit
Calculated volume   12.33 Å³/atom

Lattice parameters (Å, degrees): 3.951 3.951 3.951 90.00 90.00 90.00
Fractional positions:
W (0.500, 0.000, 0.000)
W (0.000, 0.000, 0.500)
H (0.000, 0.000, 0.000)
Be (0.500, 0.500, 0.500)
W (0.000, 0.500, 0.000)

---

What did the second record say?
The following is a GGA-PBE calculation of an optimized crystal structure of BeH3W, from the Alexandria database.

Calculated values
Polymorph energy (0 for the lowest one)   0.192 eV per formula unit
Calculated volume   7.98 Å³/atom

Lattice parameters (Å, degrees): 3.417 3.417 3.417 90.00 90.00 90.00
Fractional positions:
H (0.500, 0.000, 0.000)
H (0.000, 0.000, 0.500)
W (0.000, 0.000, 0.000)
H (0.000, 0.500, 0.000)
Be (0.500, 0.500, 0.500)